Record 1
Material: TeRh2I2
Method: DFT, GGA-PBE
State: relaxed

abc: 8.494 8.494 3.308
angles: 90.00 90.00 90.00
Space group P4/mbm (No. 127)
Unique sites:
1 Te 0.000 0.000 0.000 [2 per cell]
2 Rh 0.113 0.387 0.500 [4 per cell]
3 I 0.152 0.652 0.000 [4 per cell]

- Formation energy without anion corrections: 0.716 eV/atom
- Total energy: -3.4733 eV per atom
- Spin magnetization: 0.000 μB/atom
- Calculated density: 8.17 Mg/m³

***

Record 2
Material: TiTe2RhI
Method: DFT, GGA-PBE
State: relaxed

abc: 5.222 5.222 5.256
angles: 90.00 90.00 90.00
Space group P4/mmm (No. 123)
Unique sites:
1 Ti 0.000 0.000 0.000 [1 per cell]
2 Te 0.000 0.500 0.500 [2 per cell]
3 Rh 0.500 0.500 0.500 [1 per cell]
4 I 0.500 0.500 0.000 [1 per cell]

- Formation energy without anion corrections: 0.528 eV/atom
- Total energy: -4.0883 eV per atom
- Spin magnetization: 0.002 μB/atom
- Calculated density: 6.17 Mg/m³

***

Record 3
Material: TiTe2RhI
Method: DFT, GGA-PBE
State: relaxed

abc: 5.266 5.266 5.399
angles: 90.00 90.00 90.00
Space group P4/mmm (No. 123)
Unique sites:
1 Ti 0.000 0.000 0.000 [1 per cell]
2 Te 0.000 0.500 0.000 [2 per cell]
3 Rh 0.500 0.500 0.500 [1 per cell]
4 I 0.000 0.000 0.500 [1 per cell]

- Formation energy without anion corrections: 0.563 eV/atom
- Total energy: -4.0532 eV per atom
- Spin magnetization: 0.000 μB/atom
- Calculated density: 5.91 Mg/m³

***

Record 4
Material: TlTeRhI2
Method: DFT, GGA-PBE
State: relaxed

abc: 6.042 6.042 5.783
angles: 90.00 90.00 90.00
Space group P4/mmm (No. 123)
Unique sites:
1 Tl 0.000 0.000 0.000 [1 per cell]
2 Te 0.000 0.000 0.500 [1 per cell]
3 Rh 0.500 0.500 0.500 [1 per cell]
4 I 0.000 0.500 0.000 [2 per cell]

- Formation energy without anion corrections: 0.965 eV/atom
- Total energy: -2.2271 eV per atom
- Spin magnetization: 0.511 μB/atom
- Calculated density: 5.42 Mg/m³

***

Record 5
Material: TlTeRhI2
Method: DFT, GGA-PBE
State: relaxed

abc: 5.717 5.717 5.087
angles: 90.00 90.00 90.00
Space group P4/mmm (No. 123)
Unique sites:
1 Tl 0.000 0.000 0.000 [1 per cell]
2 Te 0.500 0.500 0.000 [1 per cell]
3 Rh 0.500 0.500 0.500 [1 per cell]
4 I 0.000 0.500 0.500 [2 per cell]

- Formation energy without anion corrections: -0.098 eV/atom
- Total energy: -3.2897 eV per atom
- Spin magnetization: 0.000 μB/atom
- Calculated density: 6.88 Mg/m³

***

Record 6
Material: VTeRhI2
Method: DFT, GGA-PBE
State: relaxed

abc: 5.294 5.294 5.352
angles: 90.00 90.00 90.00
Space group P4/mmm (No. 123)
Unique sites:
1 V 0.000 0.000 0.000 [1 per cell]
2 Te 0.500 0.500 0.000 [1 per cell]
3 Rh 0.500 0.500 0.500 [1 per cell]
4 I 0.000 0.500 0.500 [2 per cell]

- Formation energy without anion corrections: 0.870 eV/atom
- Total energy: -3.6723 eV per atom
- Spin magnetization: 0.008 μB/atom
- Calculated density: 5.93 Mg/m³

***

Which of these has the highest total energy? number 4

***

Number 2 is which compound? TiTe2RhI

***

Please write out number 5 again, unchanged.
Material: TlTeRhI2
Method: DFT, GGA-PBE
State: relaxed

abc: 5.717 5.717 5.087
angles: 90.00 90.00 90.00
Space group P4/mmm (No. 123)
Unique sites:
1 Tl 0.000 0.000 0.000 [1 per cell]
2 Te 0.500 0.500 0.000 [1 per cell]
3 Rh 0.500 0.500 0.500 [1 per cell]
4 I 0.000 0.500 0.500 [2 per cell]

- Formation energy without anion corrections: -0.098 eV/atom
- Total energy: -3.2897 eV per atom
- Spin magnetization: 0.000 μB/atom
- Calculated density: 6.88 Mg/m³